(1)
The following is a DFT calculation (PBE-GGA) of a relaxed SmSi2Pt5Au crystal.

a b c (Å): 4.053 4.053 10.940
angles (deg): 90.00 90.00 90.00
Atoms (fractional coordinates):
Pt1 0.500 0.000 0.177
Sm1 0.000 0.000 0.500
Pt2 0.000 0.500 0.177
Pt3 0.500 0.500 0.500
Au1 0.000 0.000 0.000
Si1 0.500 0.500 0.714
Pt4 0.000 0.500 0.823
Si2 0.500 0.500 0.286
Pt5 0.500 0.000 0.823

Computed properties:
Formation energy without anion corrections: -5.162 eV per formula unit
Calculated total energy: -54.209 eV/cell
V: 20.0 Å³/atom
M_tot: 0.00 μB/cell

---

(2)
The following is a DFT calculation (PBE-GGA) of a relaxed Hf5GaOs4 crystal.

a b c (Å): 3.258 3.258 16.491
angles (deg): 90.00 90.00 90.00
Atoms (fractional coordinates):
Os1 0.000 0.000 0.401
Hf1 0.500 0.500 0.894
Hf2 0.500 0.500 0.106
Hf3 0.500 0.500 0.500
Hf4 0.500 0.500 0.697
Os2 0.000 0.000 0.599
Os3 0.000 0.000 0.798
Os4 0.000 0.000 0.202
Hf5 0.500 0.500 0.303
Ga1 0.000 0.000 0.000

Computed properties:
Calculated total energy: -103.779 eV/cell
V: 17.5 Å³/atom
M_tot: 0.00 μB/cell
Formation energy from the elements: -607 meV/atom